# 1
First-principles (GGA-PBE) data for an optimized crystal structure of KMnGaPt2, as listed in the Alexandria database.

The structure belongs to space group P4/mmm (No. 123); the cell edges are 5.051, 5.051 and 4.878 Å and the angles 90.00°, 90.00° and 90.00°. The inequivalent atoms are K at (0.000, 0.000, 0.000), Mn at (0.500, 0.500, 0.500), Ga at (0.000, 0.000, 0.500) and Pt at (0.000, 0.500, 0.000).

Its density of states at the Fermi level is 2.77 states/eV per cell. The volume comes out at 124.4 Å³ per cell. Its electronic total energy is -16.5 eV/cell.

---

# 2
First-principles (GGA-PBE) data for an optimized crystal structure of NaCa2, as listed in the Alexandria database.

The structure belongs to space group P4/nmm (No. 129, origin choice 2); the cell edges are 3.993, 3.993 and 15.013 Å and the angles 90.00°, 90.00° and 90.00°. The inequivalent atoms are Na at (0.250, 0.250, 0.071), Ca at (0.250, 0.250, 0.413) and Ca at (0.250, 0.250, 0.763).

Its density of states at the Fermi level is 4.45 states/eV per cell. The volume comes out at 239.3 Å³ per cell. The calculation puts the distance to the lowest polymorph of the same formula at 0 meV per atom.

---

# 3
First-principles (GGA-PBE) data for an optimized crystal structure of CsHgI, as listed in the Alexandria database.

The structure belongs to space group F-43m (No. 216); the cell edges are 8.952, 8.952 and 8.952 Å and the angles 90.00°, 90.00° and 90.00°. The inequivalent atoms are Cs at (0.000, 0.000, 0.000), Hg at (0.000, 0.000, 0.500) and I at (0.250, 0.250, 0.250).

Its density of states at the Fermi level is 0.00 states/eV per cell. For the formation energy from raw total energies, the calculation gives -928.0 meV per atom. The volume comes out at 717.4 Å³ per cell. The calculation puts the distance to the lowest polymorph of the same formula at 37 meV per atom.